A relaxed Pr5Nd2Sn5 crystal. Source: the Alexandria database, functional PBE-GGA.

abc: 4.505 7.872 13.182
angles: 107.66 90.00 106.63
Fractional coordinates of all 12 atoms:
Pr  0.500  0.000  0.500
Pr  0.731  0.461  0.347
Pr  0.340  0.681  0.957
Pr  0.269  0.539  0.653
Pr  0.660  0.319  0.043
Nd  0.952  0.904  0.215
Nd  0.048  0.096  0.785
Sn  0.883  0.766  0.573
Sn  0.000  0.000  0.000
Sn  0.301  0.603  0.203
Sn  0.117  0.234  0.427
Sn  0.699  0.397  0.797

Space-group type: C2/m
M_tot in μB/f.u.: 0.939
Calculated formation energy in meV/atom: -549